No. 1
! Pm2Ho2Sc, relaxed, DFT PBE; values from VASP
&SYSTEM
  ibrav = 0, nat = 5, ntyp = 3
/
ATOMIC_SPECIES
Ho 164.93 Ho.upf
Pm 145.00 Pm.upf
Sc 44.96 Sc.upf
CELL_PARAMETERS angstrom
4.707 0.000 1.301
2.113 5.603 1.520
0.884 -1.337 5.967
ATOMIC_POSITIONS angstrom
Ho 3.597 0.690 5.319
Ho 4.108 3.576 3.469
Pm 5.851 3.018 6.327
Pm 1.853 1.249 2.461
Sc 0.000 0.000 0.000
! * DOS at the Fermi energy: 1.598 states/eV per atom
! * size of the total moment: 0.0 μB per cell
! * total DFT energy (no corrections): -4.777 eV/atom
! * energy of formation from the pure elements: 0.22 eV per atom
! * relative energy among the computed polymorphs: 2.60 kJ/mol of atoms

No. 2
! PmHo3Sc7, relaxed, DFT PBE; values from VASP
&SYSTEM
  ibrav = 0, nat = 11, ntyp = 3
/
ATOMIC_SPECIES
Pm 145.00 Pm.upf
Ho 164.93 Ho.upf
Sc 44.96 Sc.upf
CELL_PARAMETERS angstrom
-3.087 3.494 2.805
-4.177 -3.059 -6.078
-0.903 -7.381 2.908
ATOMIC_POSITIONS angstrom
Pm -4.084 -3.473 -0.182
Ho -3.492 -3.963 -4.197
Ho -1.544 1.747 1.403
Ho -1.588 -6.476 1.027
Sc -6.475 -5.510 -0.291
Sc -3.945 1.058 -0.385
Sc -5.468 -6.359 -3.398
Sc -2.699 -0.587 3.033
Sc -2.540 -5.220 -1.585
Sc -1.692 -1.436 -0.074
Sc -4.223 -8.004 0.021
! * DOS at the Fermi energy: 1.639 states/eV per atom
! * size of the total moment: 0.0 μB per cell
! * total DFT energy (no corrections): -5.423 eV/atom
! * energy of formation from the pure elements: 0.29 eV per atom

No. 3
! Pm8Ho2Sc3, relaxed, DFT PBE; values from VASP
&SYSTEM
  ibrav = 0, nat = 13, ntyp = 3
/
ATOMIC_SPECIES
Sc 44.96 Sc.upf
Pm 145.00 Pm.upf
Ho 164.93 Ho.upf
CELL_PARAMETERS angstrom
-1.863 -4.114 -3.898
6.942 -4.907 -2.099
-1.986 -7.194 4.580
ATOMIC_POSITIONS angstrom
Sc 0.417 -6.578 2.782
Sc 4.538 -5.523 -0.301
Sc -0.931 -2.057 -1.949
Pm 4.060 -10.932 1.684
Pm 2.884 -6.230 -3.439
Pm 2.449 -8.090 0.504
Pm 0.209 -9.985 2.022
Pm 4.960 -8.768 -1.533
Pm -1.867 -7.447 0.116
Pm 0.644 -8.125 -1.921
Pm -0.967 -5.283 -3.101
Ho 0.970 -5.177 -0.476
Ho 2.123 -11.038 -0.941
! * DOS at the Fermi energy: 1.566 states/eV per atom
! * size of the total moment: 0.0 μB per cell
! * total DFT energy (no corrections): -4.908 eV/atom
! * energy of formation from the pure elements: 0.18 eV per atom
! * relative energy among the computed polymorphs: 0.00 kJ/mol of atoms

No. 4
! PmHo4Sc3, relaxed, DFT PBE; values from VASP
&SYSTEM
  ibrav = 0, nat = 16, ntyp = 3
/
ATOMIC_SPECIES
Ho 164.93 Ho.upf
Sc 44.96 Sc.upf
Pm 145.00 Pm.upf
CELL_PARAMETERS angstrom
-1.686 -4.351 -3.859
0.720 -4.800 5.096
-10.427 1.490 2.877
ATOMIC_POSITIONS angstrom
Ho -8.325 -5.849 4.116
Ho -1.042 -8.472 0.612
Ho -5.943 -2.011 0.221
Ho -3.021 -6.607 2.653
Ho -0.721 -2.725 -1.202
Ho -7.923 -0.141 2.257
Ho -2.800 -0.873 0.844
Ho -6.245 -7.708 2.079
Sc -6.591 -5.325 -0.410
Sc -0.358 -5.066 1.325
Sc -3.417 -4.279 0.146
Sc -2.424 -3.252 3.306
Sc -8.654 -3.530 1.591
Sc -7.614 -2.511 4.738
Pm -5.577 -4.310 2.740
Pm -1.377 -6.092 -1.836
! * DOS at the Fermi energy: 1.724 states/eV per atom
! * size of the total moment: 0.0 μB per cell
! * total DFT energy (no corrections): -5.228 eV/atom
! * energy of formation from the pure elements: 0.03 eV per atom

No. 5
! Pm8Ho2Sc, relaxed, DFT PBE; values from VASP
&SYSTEM
  ibrav = 0, nat = 11, ntyp = 3
/
ATOMIC_SPECIES
Pm 145.00 Pm.upf
Ho 164.93 Ho.upf
Sc 44.96 Sc.upf
CELL_PARAMETERS angstrom
-1.334 4.242 -3.529
-7.465 -0.010 2.810
6.523 3.267 6.021
ATOMIC_POSITIONS angstrom
Pm 3.123 3.969 3.589
Pm -5.399 3.530 1.713
Pm 0.009 3.965 4.761
Pm -5.358 -0.007 2.017
Pm 3.082 7.506 3.285
Pm 0.711 1.804 1.896
Pm -2.987 5.695 3.406
Pm -2.285 3.534 0.541
Ho -2.884 2.145 3.666
Ho 0.608 5.354 1.636
Sc -0.667 2.121 -1.764
! * DOS at the Fermi energy: 1.546 states/eV per atom
! * size of the total moment: 0.0 μB per cell
! * total DFT energy (no corrections): -4.750 eV/atom
! * energy of formation from the pure elements: 0.11 eV per atom
! * relative energy among the computed polymorphs: 0.00 kJ/mol of atoms

No. 6
! Pm3Ho3Sc2, relaxed, DFT PBE; values from VASP
&SYSTEM
  ibrav = 0, nat = 8, ntyp = 3
/
ATOMIC_SPECIES
Sc 44.96 Sc.upf
Ho 164.93 Ho.upf
Pm 145.00 Pm.upf
CELL_PARAMETERS angstrom
-4.063 -1.808 3.183
-2.684 -2.011 -4.570
7.222 -4.995 1.685
ATOMIC_POSITIONS angstrom
Sc -1.287 -5.238 0.079
Sc 1.762 -3.576 0.218
Ho -0.379 -3.000 -2.188
Ho 0.000 0.000 0.000
Ho 0.854 -5.815 2.486
Pm 1.293 -6.067 -1.795
Pm -3.374 -1.910 -0.694
Pm -0.819 -2.747 2.093
! * DOS at the Fermi energy: 1.644 states/eV per atom
! * size of the total moment: 0.0 μB per cell
! * total DFT energy (no corrections): -5.001 eV/atom
! * energy of formation from the pure elements: 0.08 eV per atom
! * relative energy among the computed polymorphs: 3.64 kJ/mol of atoms

No. 7
! Pm4HoSc3, relaxed, DFT PBE; values from VASP
&SYSTEM
  ibrav = 0, nat = 8, ntyp = 3
/
ATOMIC_SPECIES
Sc 44.96 Sc.upf
Pm 145.00 Pm.upf
Ho 164.93 Ho.upf
CELL_PARAMETERS angstrom
3.389 0.000 -0.721
-0.563 4.970 -2.649
1.821 -2.683 16.885
ATOMIC_POSITIONS angstrom
Sc 3.343 2.134 7.388
Sc 1.303 0.154 6.127
Sc -0.282 2.485 -1.324
Pm 2.739 -1.506 12.878
Pm 2.634 2.451 4.056
Pm 1.907 3.793 0.638
Pm 2.012 -0.164 9.460
Ho 1.694 0.000 -0.360
! * DOS at the Fermi energy: 1.829 states/eV per atom
! * size of the total moment: 0.0 μB per cell
! * total DFT energy (no corrections): -5.023 eV/atom
! * energy of formation from the pure elements: 0.30 eV per atom
! * relative energy among the computed polymorphs: 24.36 kJ/mol of atoms

No. 8
! Pm2Ho7Sc2, relaxed, DFT PBE; values from VASP
&SYSTEM
  ibrav = 0, nat = 11, ntyp = 3
/
ATOMIC_SPECIES
Ho 164.93 Ho.upf
Sc 44.96 Sc.upf
Pm 145.00 Pm.upf
CELL_PARAMETERS angstrom
-3.727 -4.549 -2.767
1.946 -3.760 7.294
-5.201 1.521 3.588
ATOMIC_POSITIONS angstrom
Ho 0.973 -1.880 3.647
Ho -3.803 -3.887 -1.157
Ho -2.528 -0.874 3.908
Ho -1.193 -4.809 3.907
Ho -5.789 -1.980 4.208
Ho -3.178 -2.902 9.272
Ho -4.454 -5.915 4.207
Sc -3.352 -3.283 5.981
Sc -3.630 -3.505 2.135
Pm -6.107 -2.071 0.562
Pm -2.821 -0.957 0.259
! * DOS at the Fermi energy: 1.747 states/eV per atom
! * size of the total moment: 0.0 μB per cell
! * total DFT energy (no corrections): -4.814 eV/atom
! * energy of formation from the pure elements: 0.11 eV per atom
! * relative energy among the computed polymorphs: 0.00 kJ/mol of atoms

No. 9
! Pm5HoSc2, relaxed, DFT PBE; values from VASP
&SYSTEM
  ibrav = 0, nat = 16, ntyp = 3
/
ATOMIC_SPECIES
Pm 145.00 Pm.upf
Sc 44.96 Sc.upf
Ho 164.93 Ho.upf
CELL_PARAMETERS angstrom
9.016 0.000 -3.857
-0.980 5.984 -2.290
-0.823 -1.639 10.543
ATOMIC_POSITIONS angstrom
Pm 3.408 1.336 5.605
Pm 3.806 3.009 -1.209
Pm 1.414 4.642 1.083
Pm 0.297 1.650 2.915
Pm 1.210 4.328 5.191
Pm 6.917 2.695 1.481
Pm 7.744 4.488 -5.345
Pm 5.800 -0.297 3.313
Pm 0.293 1.496 -0.803
Pm 6.003 0.017 -0.795
Sc 6.784 2.835 -2.728
Sc 0.430 1.510 7.124
Sc 4.366 4.502 4.086
Sc 2.848 -0.157 0.310
Ho -0.411 -0.819 5.272
Ho 3.607 2.172 2.198
! * DOS at the Fermi energy: 1.683 states/eV per atom
! * size of the total moment: 0.0 μB per cell
! * total DFT energy (no corrections): -4.990 eV/atom
! * energy of formation from the pure elements: 0.13 eV per atom

No. 10
! PmHo6Sc2, relaxed, DFT PBE; values from VASP
&SYSTEM
  ibrav = 0, nat = 18, ntyp = 3
/
ATOMIC_SPECIES
Pm 145.00 Pm.upf
Sc 44.96 Sc.upf
Ho 164.93 Ho.upf
CELL_PARAMETERS angstrom
-4.998 -3.645 -2.036
2.711 -8.288 3.147
-5.518 0.604 7.425
ATOMIC_POSITIONS angstrom
Pm -5.593 -1.577 6.306
Pm -2.212 -9.753 2.230
Sc -2.995 -3.546 2.754
Sc -4.810 -7.784 5.782
Sc -5.005 -5.896 1.482
Sc -2.800 -5.434 7.054
Ho -1.919 -0.834 1.282
Ho -5.158 -4.603 5.143
Ho -7.596 -6.661 7.192
Ho -0.315 -5.314 4.942
Ho -2.647 -6.727 3.393
Ho -7.491 -6.016 3.594
Ho -3.036 -4.150 -0.454
Ho -5.886 -10.496 7.254
Ho -1.702 -8.506 6.446
Ho -6.103 -2.824 2.090
Ho -0.209 -4.670 1.344
Ho -4.769 -7.180 8.991
! * DOS at the Fermi energy: 1.119 states/eV per atom
! * size of the total moment: 0.0 μB per cell
! * total DFT energy (no corrections): -4.857 eV/atom
! * energy of formation from the pure elements: 0.13 eV per atom
! * relative energy among the computed polymorphs: 4.22 kJ/mol of atoms